6
Lattice="3.886 0.000 0.000 0.000 3.886 0.000 0.000 0.000 11.463" Properties=species:S:1:pos:R:3 comment="GGA-PBE Pr3Mg2Ag, relaxed" dft_energy_ev_per_cell=-21.3 pbc="T T T"
Pr 0.000 0.000 0.000
Pr 0.000 0.000 3.888
Pr 0.000 0.000 7.575
Mg 1.943 1.943 1.905
Mg 1.943 1.943 9.557
Ag 1.943 1.943 5.731

---

10
Lattice="4.278 0.000 0.000 0.000 4.278 0.000 0.000 0.000 12.960" Properties=species:S:1:pos:R:3 comment="GGA-PBE PrMg2Ag2, relaxed" dft_energy_ev_per_cell=-29.5 pbc="T T T"
Pr 0.000 0.000 0.000
Pr 2.139 2.139 6.480
Mg 0.000 2.139 3.240
Mg 0.000 2.139 9.720
Mg 2.139 0.000 3.240
Mg 2.139 0.000 9.720
Ag 0.000 0.000 5.086
Ag 0.000 0.000 7.874
Ag 2.139 2.139 1.394
Ag 2.139 2.139 11.566

---

13
Lattice="2.884 -7.257 0.000 2.884 7.257 0.000 -2.745 0.000 7.238" Properties=species:S:1:pos:R:3 comment="GGA-PBE PrMg11Ag, relaxed" dft_energy_ev_per_cell=-26.4 pbc="T T T"
Pr 0.000 0.000 0.000
Mg -1.373 0.000 3.619
Mg 1.442 3.628 0.000
Mg 0.071 2.517 2.581
Mg 0.155 1.517 5.669
Mg 0.071 -2.517 2.581
Mg 2.867 1.517 1.569
Mg 1.442 -3.628 0.000
Mg 0.155 -1.517 5.669
Mg 2.951 2.517 4.656
Mg 2.867 -1.517 1.569
Mg 2.951 -2.517 4.656
Ag 1.511 0.000 3.619

---

9
Lattice="6.322 0.000 0.000 -3.161 5.475 0.000 0.000 0.000 5.894" Properties=species:S:1:pos:R:3 comment="GGA-PBE Pr2MgAg6, relaxed" relative_energy_ev_per_fu=0.00 pbc="T T T"
Pr 0.000 3.650 2.016
Pr 3.161 1.825 3.878
Mg 0.000 0.000 2.947
Ag 0.000 1.986 4.873
Ag -1.441 4.482 4.873
Ag 1.720 0.993 1.021
Ag 1.441 4.482 4.873
Ag 4.602 0.993 1.021
Ag 3.161 3.489 1.021

---

4
Lattice="3.445 0.000 0.000 0.000 3.445 0.000 0.000 0.000 8.128" Properties=species:S:1:pos:R:3 comment="GGA-PBE PrMg2Ag, relaxed" dft_energy_ev_per_cell=-11.4 pbc="T T T"
Pr 0.000 0.000 0.000
Mg 1.722 1.722 2.479
Mg 1.722 1.722 5.649
Ag 0.000 0.000 4.064

---

16
Lattice="3.621 0.000 0.000 0.000 5.431 0.000 0.000 0.000 21.285" Properties=species:S:1:pos:R:3 comment="GGA-PBE Pr3Mg2Ag3, relaxed" relative_energy_ev_per_fu=0.49 pbc="T T T"
Pr 0.000 0.000 0.000
Pr 0.000 2.716 2.689
Pr 0.000 2.716 18.595
Pr 1.810 0.000 7.953
Pr 1.810 0.000 13.332
Pr 1.810 2.716 10.642
Mg 0.000 0.000 4.977
Mg 0.000 0.000 16.308
Mg 1.810 2.716 5.665
Mg 1.810 2.716 15.620
Ag 0.000 0.000 10.642
Ag 0.000 2.716 7.887
Ag 0.000 2.716 13.398
Ag 1.810 0.000 2.755
Ag 1.810 0.000 18.530
Ag 1.810 2.716 0.000